An optimized crystal structure of MgAlBi3, computed with PBE-GGA.

Lattice parameters (Å, degrees): 5.4921 5.4921 5.4921 90.00 90.00 90.00
Atoms (fractional coordinates):
Mg1 0.0000 0.0000 0.0000
Al1 0.5000 0.5000 0.5000
Bi1 0.0000 0.5000 0.5000
Bi2 0.5000 0.0000 0.5000
Bi3 0.5000 0.5000 0.0000

Values from the calculation:
* raw total energy: -14.51 eV per cell
* SG: Pm-3m
* energy relative to the elements: 493 meV/atom